[1]
Zn2SiGeN4 after structural relaxation. Source: the Open Quantum Materials Database, functional PBE-GGA.

Computed properties:
Calculated total energy (eV/cell): -99.5

Unit cell a=4.5197 b=4.5197 c=8.5638 alpha=90.00 beta=90.00 gamma=90.00
Last column: nearest neighbours and their distance in Å.
Positions (direct):
1 Zn 0.0000 0.0000 0.0000  4 N 2.04
2 Zn 0.0000 0.5000 0.2500  4 N 2.05
3 Zn 0.5000 0.0000 0.7500  4 N 2.05
4 Zn 0.5000 0.5000 0.5000  4 N 2.04
5 Si 0.0000 0.5000 0.7500  4 N 1.76
6 Si 0.5000 0.0000 0.2500  4 N 1.76
7 Ge 0.0000 0.0000 0.5000  4 N 1.87
8 Ge 0.5000 0.5000 0.0000  4 N 1.87
9 N 0.2053 0.2611 0.6301  1 Si 1.76, 1 Ge 1.87
10 N 0.2389 0.7053 0.8699  1 Si 1.76, 1 Ge 1.87
11 N 0.2611 0.7947 0.3699  1 Si 1.76, 1 Ge 1.87
12 N 0.2947 0.2389 0.1301  1 Si 1.76, 1 Ge 1.87
13 N 0.7053 0.7611 0.1301  1 Si 1.76, 1 Ge 1.87
14 N 0.7389 0.2053 0.3699  1 Si 1.76, 1 Ge 1.87
15 N 0.7611 0.2947 0.8699  1 Si 1.76, 1 Ge 1.87
16 N 0.7947 0.7389 0.6301  1 Si 1.76, 1 Ge 1.87

[2]
Zr4SiGeN2 after structural relaxation. Source: the Open Quantum Materials Database, functional PBE-GGA.

Computed properties:
M_tot (μB/f.u.): 0.00
Calculated total energy (eV/cell): -70.0

Unit cell a=3.2719 b=3.2719 c=13.5968 alpha=90.00 beta=90.00 gamma=120.00
Last column: nearest neighbours and their distance in Å.
Positions (direct):
1 Zr 0.0000 0.0000 0.1535  3 N 2.29
2 Zr 0.0000 0.0000 0.8465  3 N 2.29
3 Zr 0.3333 0.6667 0.3419  3 N 2.28
4 Zr 0.3333 0.6667 0.6580  3 N 2.28
5 Si 0.3333 0.6667 0.0000  6 Zr 2.82
6 Ge 0.0000 0.0000 0.5000  6 Zr 2.86
7 N 0.6667 0.3333 0.2482  6 Zr 2.28-2.29
8 N 0.6667 0.3333 0.7518  6 Zr 2.28-2.29

[3]
SnGeW4N2 after structural relaxation. Source: the Open Quantum Materials Database, functional PBE-GGA.

Computed properties:
M_tot (μB/f.u.): 0.00
Calculated total energy (eV/cell): -74.2

Unit cell a=3.0092 b=3.0092 c=13.9942 alpha=90.00 beta=90.00 gamma=120.00
Last column: nearest neighbours and their distance in Å.
Positions (direct):
1 Sn 0.0000 0.0000 0.0000  6 W 2.92, 6 Sn 3.01
2 Ge 0.6667 0.3333 0.5000  6 W 2.67
3 W 0.0000 0.0000 0.3555  3 N 2.19
4 W 0.0000 0.0000 0.6445  3 N 2.19
5 W 0.6667 0.3333 0.1675  3 N 2.17
6 W 0.6667 0.3333 0.8325  3 N 2.17
7 N 0.3333 0.6667 0.2600  6 W 2.17-2.19
8 N 0.3333 0.6667 0.7400  6 W 2.17-2.19

[4]
TaGe2N after structural relaxation. Source: the Open Quantum Materials Database, functional PBE-GGA.

Computed properties:
M_tot (μB/f.u.): 0.00
Calculated total energy (eV/cell): -55.9

Unit cell a=2.9688 b=2.9688 c=14.2965 alpha=90.00 beta=90.00 gamma=120.00
Last column: nearest neighbours and their distance in Å.
Positions (direct):
1 Ta 0.3333 0.6667 0.2500  6 Ge 2.78, 6 Ta 2.97
2 Ta 0.6667 0.3333 0.7500  6 Ge 2.78, 6 Ta 2.97
3 Ge 0.3333 0.6667 0.5971  3 N 2.21
4 Ge 0.3333 0.6667 0.9029  3 N 2.21
5 Ge 0.6667 0.3333 0.0971  3 N 2.21
6 Ge 0.6667 0.3333 0.4029  3 N 2.21
7 N 0.0000 0.0000 0.0000  6 Ge 2.21
8 N 0.0000 0.0000 0.5000  6 Ge 2.21

[5]
Ta4TlGeN2 after structural relaxation. Source: the Open Quantum Materials Database, functional PBE-GGA.

Computed properties:
M_tot (μB/f.u.): 0.00
Calculated total energy (eV/cell): -73.9

Unit cell a=3.0676 b=3.0676 c=14.4110 alpha=90.00 beta=90.00 gamma=120.00
Last column: nearest neighbours and their distance in Å.
Positions (direct):
1 Ta 0.0000 0.0000 0.1445  3 N 2.20
2 Ta 0.0000 0.0000 0.8555  3 N 2.20
3 Ta 0.6667 0.3333 0.3267  3 N 2.21
4 Ta 0.6667 0.3333 0.6733  3 N 2.21
5 Tl 0.0000 0.0000 0.5000  6 Ta 3.06, 6 Tl 3.07
6 Ge 0.6667 0.3333 0.0000  6 Ta 2.73
7 N 0.3333 0.6667 0.2348  6 Ta 2.20-2.21
8 N 0.3333 0.6667 0.7652  6 Ta 2.20-2.21

[6]
Y4Ta2Ge3N3 after structural relaxation. Source: the Open Quantum Materials Database, functional PBE-GGA.

Computed properties:
M_tot (μB/f.u.): 0.00
Calculated total energy (eV/cell): -201.3

Unit cell a=5.8633 b=5.8633 c=14.0734 alpha=102.09 beta=102.09 gamma=60.32
Last column: nearest neighbours and their distance in Å.
Positions (direct):
1 Y 0.0400 0.1945 0.1012  3 N 2.41-2.44
2 Y 0.1261 0.2995 0.3988  3 N 2.41-2.43
3 Y 0.1945 0.0400 0.6012  3 N 2.41-2.44
4 Y 0.2995 0.1261 0.8988  3 N 2.41-2.43
5 Y 0.7005 0.8739 0.1012  3 N 2.41-2.43
6 Y 0.8055 0.9600 0.3988  3 N 2.41-2.44
7 Y 0.8739 0.7005 0.6012  3 N 2.41-2.43
8 Y 0.9600 0.8055 0.8988  3 N 2.41-2.44
9 Ta 0.3519 0.5262 0.0780  3 N 2.17-2.19
10 Ta 0.4738 0.6481 0.4220  3 N 2.17-2.19
11 Ta 0.5262 0.3519 0.5780  3 N 2.17-2.19
12 Ta 0.6481 0.4738 0.9220  3 N 2.17-2.19
13 Ge 0.1556 0.8444 0.2500  2 Ge 2.67, 2 Ta 2.80, 4 Y 2.98
14 Ge 0.3209 0.4169 0.7519  2 Ge 2.67, 2 Ta 2.81-2.82, 1 Y 2.99
15 Ge 0.4169 0.3209 0.2519  2 Ge 2.67, 2 Ta 2.81-2.82, 1 Y 2.99
16 Ge 0.5831 0.6791 0.7481  2 Ge 2.67, 2 Ta 2.81-2.82, 1 Y 2.99
17 Ge 0.6791 0.5831 0.2481  2 Ge 2.67, 2 Ta 2.81-2.82, 1 Y 2.99
18 Ge 0.8444 0.1556 0.7500  2 Ge 2.67, 2 Ta 2.80, 4 Y 2.98
19 N 0.0000 0.5000 0.0000  2 Ta 2.19, 4 Y 2.41-2.42
20 N 0.1857 0.6574 0.5000  2 Ta 2.17-2.18, 3 Y 2.41-2.43
21 N 0.3426 0.8143 0.0000  2 Ta 2.17-2.18, 3 Y 2.41-2.43
22 N 0.5000 0.0000 0.5000  2 Ta 2.19, 4 Y 2.41-2.42
23 N 0.6574 0.1857 0.0000  2 Ta 2.17-2.18, 3 Y 2.41-2.43
24 N 0.8143 0.3426 0.5000  2 Ta 2.17-2.18, 3 Y 2.41-2.43